Entry 1:
Er5HfPt6: relaxed, GGA-PBE.

Size of the total moment: 0.0 μB per formula unit
Formation energy from the elements: -1.219 eV per atom
Total DFT energy (no corrections): -6.970 eV per atom

Lattice parameters (Å, degrees): 4.838 6.888 8.486 66.06 73.59 90.00
Atoms (fractional coordinates):
1 Hf 0.000 0.000 0.000
2 Pt 0.847 0.609 0.307
3 Pt 0.847 0.084 0.307
4 Pt 0.500 0.773 0.000
5 Pt 0.500 0.227 0.000
6 Pt 0.153 0.916 0.693
7 Pt 0.153 0.391 0.693
8 Er 0.670 0.171 0.659
9 Er 0.336 0.335 0.330
10 Er 0.000 0.500 0.000
11 Er 0.664 0.665 0.670
12 Er 0.330 0.829 0.341

Entry 2:
Na3NbSi: relaxed, GGA-PBE.

Formation energy without anion corrections: 1.217 eV/atom
Energy above the most stable polymorph in this dataset: 0.0 meV/atom
Size of the total moment: 4.0 μB per formula unit
Total DFT energy (no corrections): -2.673 eV per atom

Lattice parameters (Å, degrees): 5.454 5.454 5.454 90.00 90.00 90.00
Last column: magnetic moment on the atom in μB.
Atoms (fractional coordinates):
1 Na 0.000 0.500 0.000  0.00
2 Na 0.000 0.000 0.500  -0.01
3 Na 0.500 0.000 0.000  0.00
4 Nb 0.500 0.500 0.500  3.15
5 Si 0.000 0.000 0.000  -0.24

Entry 3:
AlFeAs2: relaxed, GGA-PBE.

Size of the total moment: 1.4 μB per formula unit
Formation energy from the elements: -0.034 eV per atom
Total DFT energy (no corrections): -5.411 eV per atom

Lattice parameters (Å, degrees): 3.086 3.086 7.094 90.00 90.00 90.00
Last column: magnetic moment on the atom in μB.
Atoms (fractional coordinates):
1 As 0.000 0.000 0.925  0.01
2 As 0.500 0.500 0.343  -0.03
3 Fe 0.000 0.000 0.521  1.49
4 Al 0.500 0.500 0.710  -0.02

Entry 4:
La2InOs: relaxed, GGA-PBE.

Size of the total moment: 0.0 μB per formula unit
Formation energy from the elements: -0.093 eV per atom
Total DFT energy (no corrections): -6.049 eV per atom

Lattice parameters (Å, degrees): 4.167 4.167 8.644 76.11 76.11 59.99
Atoms (fractional coordinates):
1 In 0.250 0.250 0.250
2 La 0.021 0.021 0.937
3 La 0.479 0.479 0.563
4 Os 0.750 0.750 0.750

Entry 5:
Pm2Pr5Rh4: relaxed, GGA-PBE.

Size of the total moment: 0.0 μB per formula unit
Formation energy from the elements: -0.322 eV per atom
Total DFT energy (no corrections): -6.032 eV per atom

Lattice parameters (Å, degrees): 3.760 7.044 12.493 87.10 98.66 90.00
Atoms (fractional coordinates):
1 Pm 0.915 0.643 0.830
2 Pm 0.085 0.357 0.170
3 Pr 0.133 0.823 0.267
4 Pr 0.867 0.177 0.733
5 Pr 0.230 0.281 0.460
6 Pr 0.500 0.000 0.000
7 Pr 0.770 0.719 0.540
8 Rh 0.668 0.520 0.337
9 Rh 0.026 0.701 0.052
10 Rh 0.332 0.480 0.663
11 Rh 0.974 0.299 0.948

Entry 6:
BaSr2US6: relaxed, GGA-PBE.

Formation energy without anion corrections: -1.717 eV/atom
Size of the total moment: 0.0 μB per formula unit
Total DFT energy (no corrections): -5.851 eV per atom

Lattice parameters (Å, degrees): 7.143 7.822 10.381 90.00 87.98 90.00
Atoms (fractional coordinates):
1 Ba 0.500 0.000 0.000
2 Ba 0.000 0.500 0.500
3 Sr 0.022 0.932 0.272
4 Sr 0.522 0.568 0.772
5 Sr 0.978 0.068 0.728
6 Sr 0.478 0.432 0.228
7 U 0.500 0.000 0.500
8 U 0.000 0.500 0.000
9 S 0.295 0.665 0.044
10 S 0.795 0.835 0.544
11 S 0.705 0.335 0.956
12 S 0.205 0.165 0.456
13 S 0.343 0.731 0.402
14 S 0.843 0.769 0.902
15 S 0.657 0.269 0.598
16 S 0.157 0.231 0.098
17 S 0.861 0.585 0.222
18 S 0.361 0.915 0.722
19 S 0.139 0.415 0.778
20 S 0.639 0.085 0.278

Entry 7:
ZnMoC2Se: relaxed, GGA-PBE.

Formation energy without anion corrections: 1.197 eV/atom
Size of the total moment: 0.0 μB per formula unit
Total DFT energy (no corrections): -5.611 eV per atom

Lattice parameters (Å, degrees): 3.954 5.508 3.954 90.00 90.00 90.00
Atoms (fractional coordinates):
1 C 0.000 0.000 0.500
2 C 0.500 0.000 0.000
3 Mo 0.000 0.000 0.000
4 Zn 0.500 0.500 0.500
5 Se 0.000 0.500 0.000

Entry 8:
LaPdAu2: relaxed, GGA-PBE.

Energy above the most stable polymorph in this dataset: 0.0 meV/atom
Size of the total moment: 0.0 μB per formula unit
Formation energy from the elements: -0.756 eV per atom
Total DFT energy (no corrections): -4.924 eV per atom

Lattice parameters (Å, degrees): 4.424 5.567 7.698 90.00 90.00 113.28
Atoms (fractional coordinates):
1 La 0.924 0.848 0.250
2 La 0.076 0.152 0.750
3 Pd 0.785 0.566 0.750
4 Pd 0.215 0.434 0.250
5 Au 0.369 0.736 0.556
6 Au 0.631 0.264 0.444
7 Au 0.369 0.736 0.944
8 Au 0.631 0.264 0.056

Entry 9:
HfCdBTe2: relaxed, GGA-PBE.

Formation energy without anion corrections: 0.493 eV/atom
Size of the total moment: 0.0 μB per formula unit
Total DFT energy (no corrections): -4.273 eV per atom

Lattice parameters (Å, degrees): 5.008 4.580 5.008 90.00 90.00 90.00
Atoms (fractional coordinates):
1 B 0.000 0.000 0.000
2 Te 0.000 0.000 0.500
3 Te 0.500 0.000 0.000
4 Hf 0.000 0.500 0.000
5 Cd 0.500 0.500 0.500

Entry 10:
TiNbV2Cd: relaxed, GGA-PBE.

Size of the total moment: 2.0 μB per formula unit
Formation energy from the elements: 1.128 eV per atom
Total DFT energy (no corrections): -6.296 eV per atom

Lattice parameters (Å, degrees): 4.461 4.802 4.461 90.00 90.00 90.00
Last column: magnetic moment on the atom in μB.
Atoms (fractional coordinates):
1 Nb 0.000 0.500 0.000  -0.10
2 V 0.000 0.000 0.500  0.74
3 V 0.500 0.000 0.000  1.06
4 Ti 0.000 0.000 0.000  0.02
5 Cd 0.500 0.500 0.500  -0.01

Entry 11:
Mn2ZnRh: relaxed, GGA-PBE.

Size of the total moment: 0.2 μB per formula unit
Formation energy from the elements: -0.002 eV per atom
Total DFT energy (no corrections): -6.743 eV per atom

Lattice parameters (Å, degrees): 6.255 2.755 13.282 90.00 104.06 90.00
Last column: magnetic moment on the atom in μB.
Atoms (fractional coordinates):
1 Mn 0.673 0.000 0.531  -3.02
2 Mn 0.673 0.500 0.031  -3.02
3 Mn 0.763 0.000 0.206  -2.71
4 Mn 0.763 0.500 0.706  -2.71
5 Mn 0.108 0.000 0.768  3.05
6 Mn 0.108 0.500 0.268  3.05
7 Mn 0.020 0.000 0.083  3.08
8 Mn 0.020 0.500 0.583  3.08
9 Zn 0.932 0.000 0.403  -0.01
10 Zn 0.932 0.500 0.903  -0.01
11 Zn 0.492 0.000 0.333  0.01
12 Zn 0.492 0.500 0.833  0.01
13 Rh 0.308 0.000 0.966  0.01
14 Rh 0.308 0.500 0.466  0.01
15 Rh 0.393 0.000 0.655  -0.02
16 Rh 0.393 0.500 0.155  -0.02

Entry 12:
SnP2Pd8: relaxed, GGA-PBE.

Size of the total moment: 0.0 μB per formula unit
Formation energy from the elements: -0.491 eV per atom
Total DFT energy (no corrections): -5.615 eV per atom

Lattice parameters (Å, degrees): 4.424 6.573 6.573 111.30 98.10 98.10
Atoms (fractional coordinates):
1 Sn 0.500 0.000 0.000
2 P 0.000 0.322 0.678
3 P 0.000 0.678 0.322
4 Pd 0.908 0.936 0.673
5 Pd 0.908 0.673 0.936
6 Pd 0.309 0.618 0.618
7 Pd 0.500 0.751 0.249
8 Pd 0.500 0.249 0.751
9 Pd 0.691 0.382 0.382
10 Pd 0.092 0.327 0.064
11 Pd 0.092 0.064 0.327